A plane-wave DFT calculation with GGA-PBE was carried out for a relaxed KPb3 crystal.

formation enthalpy at 0 K = -123 meV/atom
mass density = 7.55 g cm⁻³
electronic total energy = -76.3 eV/cell

abc: 11.818 6.821 11.520
angles: 90.00 110.06 90.00
Space group C2/m (No. 12)
Symmetry-distinct sites (fractional):
K1 0.000 0.000 0.000 (multiplicity 2)
K2 0.142 0.000 0.424 (multiplicity 4)
Pb1 0.000 0.500 0.500 (multiplicity 2)
Pb2 0.087 0.500 0.254 (multiplicity 4)
Pb3 0.162 0.500 0.989 (multiplicity 4)
Pb4 0.166 0.247 0.747 (multiplicity 8)